No. 1
# Dy3Ag

An optimized crystal structure of Dy3Ag (PBE, Alexandria via LeMat-Bulk).

- ρ (g/cm³) = 8.70
- spin magnetization (μB/f.u.) = 0.0
- excess energy over the best structure of this formula in the dataset (eV/atom) = 0.0449
- energy of formation (eV/atom) = -0.067

Lattice parameters (Å, degrees): 6.2770 9.0712 9.0712 83.12 69.76 69.76
Fractional positions:
Dy1 0.3812 0.9672 0.8011
Dy2 0.1496 0.0328 0.1989
Dy3 0.8177 0.8011 0.0328
Dy4 0.6516 0.1989 0.9672
Dy5 0.5705 0.3194 0.5974
Dy6 0.4873 0.6806 0.4026
Dy7 0.8321 0.5974 0.6806
Dy8 0.1102 0.4026 0.3194
Dy9 0.9728 0.9432 0.6169
Dy10 0.5329 0.0568 0.3831
Dy11 0.4103 0.6169 0.0568
Dy12 0.0840 0.3831 0.9432
Ag1 0.0745 0.2450 0.6436
Ag2 0.9630 0.7550 0.3564
Ag3 0.2820 0.6436 0.7550
Ag4 0.6806 0.3564 0.2450


No. 2
# SrIn2I2Br2

An optimized crystal structure of SrIn2I2Br2 (PBE, Alexandria via LeMat-Bulk).

- ρ (g/cm³) = 4.09
- spin magnetization (μB/f.u.) = 0.0
- uncorrected formation energy (eV/atom) = -1.116

Lattice parameters (Å, degrees): 4.7016 8.3473 9.1215 61.21 90.00 73.64
Fractional positions:
Sr1 0.0000 0.0000 0.0000
In1 0.8632 0.2736 0.4395
In2 0.1368 0.7264 0.5605
I1 0.5378 0.9245 0.7837
I2 0.4622 0.0755 0.2163
Br1 0.7918 0.4166 0.7083
Br2 0.2082 0.5834 0.2917


No. 3
# Os4BrCl

An optimized crystal structure of Os4BrCl (PBE, Alexandria via LeMat-Bulk).

- ρ (g/cm³) = 13.73
- spin magnetization (μB/f.u.) = 1.7
- uncorrected formation energy (eV/atom) = 1.803

Lattice parameters (Å, degrees): 5.3117 5.3117 5.3117 60.00 60.00 60.00
Fractional positions:
Os1 0.8749 0.3750 0.3750
Os2 0.3750 0.3750 0.8749
Os3 0.3750 0.8749 0.3750
Os4 0.3750 0.3750 0.3750
Br1 0.7500 0.7500 0.7500
Cl1 0.0000 0.0000 0.0000


No. 4
# K2MgNpO6

An optimized crystal structure of K2MgNpO6 (PBE, Alexandria via LeMat-Bulk).

- ρ (g/cm³) = 5.07
- spin magnetization (μB/f.u.) = 1.1
- uncorrected formation energy (eV/atom) = -2.225

Lattice parameters (Å, degrees): 5.8666 5.8665 5.8670 60.00 60.00 89.99
Fractional positions:
K1 0.2499 0.7500 0.5001
K2 0.7501 0.2500 0.4999
Mg1 0.0000 0.0000 0.0000
Np1 0.5000 0.5000 0.0000
O1 0.2570 0.7430 0.0000
O2 0.7429 0.7429 0.0000
O3 0.2570 0.2570 0.4859
O4 0.7430 0.2570 0.0000
O5 0.2571 0.2571 0.0000
O6 0.7430 0.7430 0.5141


No. 5
# AcScI2O8

An optimized crystal structure of AcScI2O8 (PBE, Alexandria via LeMat-Bulk).

- ρ (g/cm³) = 6.28
- spin magnetization (μB/f.u.) = 0.0
- uncorrected formation energy (eV/atom) = -1.551

Lattice parameters (Å, degrees): 5.5208 5.5208 7.2860 67.74 67.74 60.00
Fractional positions:
Ac1 0.5000 0.5000 0.5000
Sc1 0.0000 0.0000 0.0000
I1 0.2781 0.2781 0.1657
I2 0.7219 0.7219 0.8343
O1 0.1850 0.1850 0.4450
O2 0.6365 0.2747 0.1824
O3 0.8150 0.8150 0.5550
O4 0.9064 0.6365 0.1824
O5 0.0936 0.3635 0.8176
O6 0.2747 0.9064 0.1824
O7 0.7253 0.0936 0.8176
O8 0.3635 0.7253 0.8176


No. 6
# Fe2SiCl

An optimized crystal structure of Fe2SiCl (PBE, Alexandria via LeMat-Bulk).

- ρ (g/cm³) = 5.41
- spin magnetization (μB/f.u.) = 4.2
- excess energy over the best structure of this formula in the dataset (eV/atom) = 0.3794
- uncorrected formation energy (eV/atom) = 0.297

Lattice parameters (Å, degrees): 2.7942 5.2575 5.2337 44.43 90.00 90.00
Fractional positions:
Cl1 0.0000 0.0000 0.5000
Fe1 0.0000 0.0000 0.0000
Fe2 0.5000 0.5000 0.0000
Si1 0.5000 0.5000 0.5000


No. 7
# KCuRh

An optimized crystal structure of KCuRh (PBE, Alexandria via LeMat-Bulk).

- ρ (g/cm³) = 4.77
- spin magnetization (μB/f.u.) = 0.4
- excess energy over the best structure of this formula in the dataset (eV/atom) = 1.1638
- energy of formation (eV/atom) = 1.543

Lattice parameters (Å, degrees): 4.6593 4.6593 4.6593 60.00 60.00 60.00
Fractional positions:
Cu1 0.5000 0.5000 0.5000
K1 0.7500 0.7500 0.7500
Rh1 0.0000 0.0000 0.0000


No. 8
# Ce3MgPt3

An optimized crystal structure of Ce3MgPt3 (PBE, Alexandria via LeMat-Bulk).

- ρ (g/cm³) = 10.31
- spin magnetization (μB/f.u.) = 2.1
- energy of formation (eV/atom) = -0.831

Lattice parameters (Å, degrees): 6.8617 6.8617 7.2071 90.29 90.29 102.03
Fractional positions:
Ce1 0.6266 0.6266 0.3728
Ce2 0.1674 0.8326 0.5000
Ce3 0.8326 0.1674 0.5000
Ce4 0.2456 0.7544 0.0000
Ce5 0.7544 0.2456 0.0000
Ce6 0.3734 0.3734 0.6272
Mg1 0.7472 0.7472 0.8644
Mg2 0.2528 0.2528 0.1356
Pt1 0.9227 0.9227 0.1897
Pt2 0.9651 0.5084 0.7173
Pt3 0.5084 0.9651 0.7173
Pt4 0.0349 0.4916 0.2827
Pt5 0.4916 0.0349 0.2827
Pt6 0.0773 0.0773 0.8103


No. 9
# LaErGaPt

An optimized crystal structure of LaErGaPt (PBE, Alexandria via LeMat-Bulk).

- ρ (g/cm³) = 9.96
- spin magnetization (μB/f.u.) = 0.0
- energy of formation (eV/atom) = -0.793

Lattice parameters (Å, degrees): 5.1251 5.1251 5.1251 60.00 60.00 60.00
Fractional positions:
La1 0.5000 0.5000 0.5000
Ga1 0.2500 0.2500 0.2500
Pt1 0.7500 0.7500 0.7500
Er1 0.0000 0.0000 0.0000


No. 10
# Th2S2N

An optimized crystal structure of Th2S2N (PBE, Alexandria via LeMat-Bulk).

- ρ (g/cm³) = 8.21
- spin magnetization (μB/f.u.) = 0.0
- uncorrected formation energy (eV/atom) = -1.893

Lattice parameters (Å, degrees): 3.9277 7.2552 7.9409 90.00 104.32 90.00
Fractional positions:
Th1 0.4516 0.4128 0.9032
Th2 0.8310 0.0165 0.6620
Th3 0.1690 0.5165 0.3380
Th4 0.5484 0.9128 0.0968
S1 0.9467 0.7207 0.8935
S2 0.7997 0.4007 0.5993
S3 0.2003 0.9007 0.4007
S4 0.0533 0.2207 0.1065
N1 0.4069 0.0837 0.8138
N2 0.5931 0.5837 0.1862


No. 11
# Sc7Bi2C2

An optimized crystal structure of Sc7Bi2C2 (PBE, Alexandria via LeMat-Bulk).

- ρ (g/cm³) = 5.61
- spin magnetization (μB/f.u.) = 1.9
- energy of formation (eV/atom) = -0.315

Lattice parameters (Å, degrees): 3.3206 8.8056 8.8056 63.10 79.13 79.13
Fractional positions:
Sc1 0.8137 0.1027 0.2700
Sc2 0.8368 0.3957 0.9308
Sc3 0.5000 0.0384 0.9616
Sc4 0.6521 0.4486 0.2473
Sc5 0.3479 0.7527 0.5514
Sc6 0.1863 0.7300 0.8973
Sc7 0.1632 0.0692 0.6043
Bi1 0.0000 0.7577 0.2423
Bi2 0.5000 0.3675 0.6325
C1 0.7386 0.8572 0.6657
C2 0.2614 0.3343 0.1428


No. 12
# Y2MgZn

An optimized crystal structure of Y2MgZn (PBE, Alexandria via LeMat-Bulk).

- ρ (g/cm³) = 4.12
- spin magnetization (μB/f.u.) = 0.0
- excess energy over the best structure of this formula in the dataset (eV/atom) = 0.1995
- energy of formation (eV/atom) = -0.032

Lattice parameters (Å, degrees): 5.3097 5.3097 6.2292 78.60 78.60 38.94
Fractional positions:
Mg1 0.2500 0.2500 0.2500
Y1 0.0090 0.0090 0.9853
Y2 0.4910 0.4910 0.5147
Zn1 0.7500 0.7500 0.7500


No. 13
# NbFeAgI2

An optimized crystal structure of NbFeAgI2 (PBE, Alexandria via LeMat-Bulk).

- ρ (g/cm³) = 5.76
- spin magnetization (μB/f.u.) = 1.8
- uncorrected formation energy (eV/atom) = 0.880

Lattice parameters (Å, degrees): 5.5486 4.7798 5.5486 90.00 90.00 90.00
Fractional positions:
I1 0.0000 0.0000 0.5000
I2 0.5000 0.0000 0.0000
Nb1 0.0000 0.0000 0.0000
Fe1 0.0000 0.5000 0.0000
Ag1 0.5000 0.5000 0.5000


No. 14
# Ca2AcAg2Hg2

An optimized crystal structure of Ca2AcAg2Hg2 (PBE, Alexandria via LeMat-Bulk).

- ρ (g/cm³) = 7.43
- spin magnetization (μB/f.u.) = 0.0
- energy of formation (eV/atom) = -0.314

Lattice parameters (Å, degrees): 4.9101 4.9101 10.2944 76.20 76.20 60.00
Fractional positions:
Ca1 0.1248 0.1248 0.6256
Ca2 0.8752 0.8752 0.3744
Ac1 0.0000 0.0000 0.0000
Ag1 0.5965 0.5965 0.2104
Ag2 0.4035 0.4035 0.7896
Hg1 0.7407 0.7407 0.7779
Hg2 0.2593 0.2593 0.2221


No. 15
# ZrScCd2

An optimized crystal structure of ZrScCd2 (PBE, Alexandria via LeMat-Bulk).

- ρ (g/cm³) = 6.72
- spin magnetization (μB/f.u.) = 0.0
- excess energy over the best structure of this formula in the dataset (eV/atom) = 0.0891
- energy of formation (eV/atom) = -0.086

Lattice parameters (Å, degrees): 3.2521 4.3163 6.3574 90.00 90.00 90.00
Fractional positions:
Cd1 0.0000 0.0000 0.9950
Cd2 0.5000 0.5000 0.2550
Sc1 0.0000 0.0000 0.4959
Zr1 0.5000 0.5000 0.7541


No. 16
# KZnAsSe2

An optimized crystal structure of KZnAsSe2 (PBE, Alexandria via LeMat-Bulk).

- ρ (g/cm³) = 4.27
- spin magnetization (μB/f.u.) = 0.0
- excess energy over the best structure of this formula in the dataset (eV/atom) = 0.0000
- uncorrected formation energy (eV/atom) = -0.055

Lattice parameters (Å, degrees): 5.2274 5.2274 4.8039 90.00 90.00 90.00
Fractional positions:
K1 0.5000 0.5000 0.5000
As1 0.0000 0.0000 0.5000
Zn1 0.0000 0.0000 0.0000
Se1 0.0000 0.5000 0.0000
Se2 0.5000 0.0000 0.0000


No. 17
# ScTi2NbIr

An optimized crystal structure of ScTi2NbIr (PBE, Alexandria via LeMat-Bulk).

- ρ (g/cm³) = 6.84
- spin magnetization (μB/f.u.) = 0.0
- energy of formation (eV/atom) = 1.023

Lattice parameters (Å, degrees): 4.5856 4.9174 4.5856 90.00 90.00 90.00
Fractional positions:
Sc1 0.0000 0.5000 0.0000
Nb1 0.0000 0.0000 0.0000
Ir1 0.5000 0.5000 0.5000
Ti1 0.0000 0.0000 0.5000
Ti2 0.5000 0.0000 0.0000


No. 18
# LiBe4Au4

An optimized crystal structure of LiBe4Au4 (PBE, Alexandria via LeMat-Bulk).

- ρ (g/cm³) = 9.59
- spin magnetization (μB/f.u.) = 0.0
- energy of formation (eV/atom) = -0.077

Lattice parameters (Å, degrees): 4.6818 7.8409 7.8409 90.00 90.00 90.00
Fractional positions:
Li1 0.0000 0.0000 0.0000
Li2 0.5000 0.5000 0.5000
Be1 0.5940 0.8338 0.3212
Be2 0.5940 0.1662 0.6788
Be3 0.0940 0.8212 0.6662
Be4 0.9060 0.3338 0.8212
Be5 0.9060 0.6662 0.1788
Be6 0.4060 0.3212 0.1662
Be7 0.4060 0.6788 0.8338
Be8 0.0940 0.1788 0.3338
Au1 0.4105 0.3689 0.8573
Au2 0.9105 0.6427 0.8689
Au3 0.4105 0.6311 0.1427
Au4 0.0895 0.1311 0.6427
Au5 0.5895 0.8573 0.6311
Au6 0.0895 0.8689 0.3573
Au7 0.9105 0.3573 0.1311
Au8 0.5895 0.1427 0.3689


No. 19
# Cs2BaVS4

An optimized crystal structure of Cs2BaVS4 (PBE, Alexandria via LeMat-Bulk).

- ρ (g/cm³) = 3.22
- spin magnetization (μB/f.u.) = 1.0
- uncorrected formation energy (eV/atom) = -1.238

Lattice parameters (Å, degrees): 6.7199 9.9025 9.0301 90.00 90.00 90.00
Fractional positions:
Cs1 0.4392 0.3618 0.2876
Cs2 0.4392 0.3618 0.7124
Cs3 0.9392 0.6382 0.7876
Cs4 0.9392 0.6382 0.2124
Ba1 0.9575 0.0930 0.5000
Ba2 0.4575 0.9070 0.0000
V1 0.5168 0.8265 0.5000
V2 0.0168 0.1735 0.0000
S1 0.3433 0.1935 0.0000
S2 0.8433 0.8065 0.5000
S3 0.4505 0.0490 0.5000
S4 0.9505 0.9510 0.0000
S5 0.4268 0.7228 0.7120
S6 0.9268 0.2772 0.2120
S7 0.9268 0.2772 0.7880
S8 0.4268 0.7228 0.2880


No. 20
# La2CdIrC

An optimized crystal structure of La2CdIrC (PBE, Alexandria via LeMat-Bulk).

- ρ (g/cm³) = 8.48
- spin magnetization (μB/f.u.) = 0.0
- energy of formation (eV/atom) = -0.425

Lattice parameters (Å, degrees): 5.4569 5.4569 3.9075 90.00 90.00 90.00
Fractional positions:
Cd1 0.5000 0.5000 0.5000
C1 0.0000 0.0000 0.0000
Ir1 0.0000 0.0000 0.5000
La1 0.0000 0.5000 0.0000
La2 0.5000 0.0000 0.0000


No. 21
# LaAsIr2

An optimized crystal structure of LaAsIr2 (PBE, Alexandria via LeMat-Bulk).

- ρ (g/cm³) = 13.09
- spin magnetization (μB/f.u.) = 0.0
- energy of formation (eV/atom) = -0.237

Lattice parameters (Å, degrees): 4.0773 4.3150 4.3150 90.00 90.00 90.00
Fractional positions:
As1 0.5000 0.0000 0.5000
Ir1 0.0000 0.0000 0.0000
Ir2 0.0000 0.5000 0.5000
La1 0.5000 0.5000 0.0000


No. 22
# NbV3Se6

An optimized crystal structure of NbV3Se6 (PBE, Alexandria via LeMat-Bulk).

- ρ (g/cm³) = 6.42
- spin magnetization (μB/f.u.) = 2.3
- uncorrected formation energy (eV/atom) = -0.535

Lattice parameters (Å, degrees): 3.4839 10.5526 10.7950 110.19 90.00 90.00
Fractional positions:
Nb1 0.7500 0.0631 0.6977
Nb2 0.2500 0.9369 0.3023
V1 0.7500 0.4588 0.8864
V2 0.2500 0.5412 0.1136
V3 0.7500 0.6703 0.5064
V4 0.2500 0.3297 0.4936
V5 0.7500 0.1121 0.0624
V6 0.2500 0.8879 0.9376
Se1 0.7500 0.4900 0.6273
Se2 0.2500 0.5100 0.3727
Se3 0.7500 0.9005 0.1039
Se4 0.2500 0.0995 0.8961
Se5 0.7500 0.3701 0.0705
Se6 0.2500 0.6299 0.9295
Se7 0.7500 0.7213 0.2808
Se8 0.2500 0.2787 0.7192
Se9 0.7500 0.1122 0.4679
Se10 0.2500 0.8878 0.5321
Se11 0.7500 0.8274 0.7530
Se12 0.2500 0.1726 0.2470


No. 23
# Y3Mg2C

An optimized crystal structure of Y3Mg2C (PBE, Alexandria via LeMat-Bulk).

- ρ (g/cm³) = 3.68
- spin magnetization (μB/f.u.) = 0.0
- energy of formation (eV/atom) = -0.167

Lattice parameters (Å, degrees): 5.1199 6.9983 8.6233 90.00 72.73 90.00
Fractional positions:
Y1 0.5001 0.2500 0.0000
Y2 0.4999 0.7500 0.0000
Y3 0.1049 0.0000 0.7902
Y4 0.8951 0.5000 0.2098
Y5 0.1049 0.5000 0.7902
Y6 0.8951 0.0000 0.2098
Mg1 0.7015 0.7500 0.5963
Mg2 0.7022 0.2500 0.5963
Mg3 0.2978 0.7500 0.4037
Mg4 0.2985 0.2500 0.4037
C1 0.0001 0.7500 0.0000
C2 0.9999 0.2500 0.0000


No. 24
# Li2BF4

An optimized crystal structure of Li2BF4 (PBE, Alexandria via LeMat-Bulk).

- ρ (g/cm³) = 1.69
- spin magnetization (μB/f.u.) = 0.0
- uncorrected formation energy (eV/atom) = -2.304

Lattice parameters (Å, degrees): 5.1194 5.1194 5.2358 119.27 119.27 90.00
Fractional positions:
Li1 0.7500 0.2500 0.5000
Li2 0.2500 0.7500 0.5000
B1 0.5000 0.5000 0.0000
F1 0.7716 0.4505 0.2221
F2 0.4505 0.7716 0.2221
F3 0.5495 0.5495 0.7779
F4 0.2284 0.2284 0.7779